# 1
First-principles (PBE) data for a relaxed Al3B4PbO12 crystal, as listed in Alexandria.

Cell: 9.4378 9.4378 7.3448 Å, 90.00 90.00 120.00°
Space group R32 (No. 155, hexagonal axes)
Inequivalent atoms, fractional coordinates:
Al 0.0000 0.5575 0.0000
B 0.0000 0.0000 0.5000
B 0.0000 0.4437 0.5000
Pb 0.0000 0.0000 0.0000
O 0.0000 0.5909 0.5000
O 0.0000 0.8519 0.5000
O 0.0340 0.2227 0.1914

Values from the calculation:
E_form (uncorrected): -2459 meV per atom
crystal system: trigonal
DOS(E_F): 11.25 states/eV per cell
E: -7.516 eV/atom

***

# 2
First-principles (PBE) data for a relaxed Lu2MoC crystal, as listed in Alexandria.

Cell: 3.2848 3.2848 25.2739 Å, 90.00 90.00 120.00°
Space group R-3m (No. 166, hexagonal axes)
Inequivalent atoms, fractional coordinates:
Lu 0.0000 0.0000 0.1135
Mo 0.0000 0.0000 0.0000
C 0.0000 0.0000 0.5000

Values from the calculation:
energy of formation from the pure elements: 0.453 eV per atom
crystal system: trigonal
DOS(E_F): 12.76 states/eV per cell
E: -6.821 eV/atom

***

> What is the formula in the second record?

Lu2MoC

***

> Which of these has the lowest E?

Al3B4PbO12

***

> Which formula does entry 2 have?

Lu2MoC